1.
Material: Ca2Al2SiH2O8
Method: DFT, PBE
State: relaxed

Lattice parameters (Å, degrees): 7.7199 7.7199 7.7199 109.28 109.28 109.86
Last column: nearest neighbours and their distance in Å.
Positions (direct):
Ca: 0.2140 0.2140 0.7179  6 O 2.31-2.51
Ca: 0.4960 0.4960 0.2821  6 O 2.31-2.51
Ca: 0.5040 0.7860 0.0000  6 O 2.31-2.51
Ca: 0.7860 0.5040 0.0000  6 O 2.31-2.51
Al: 0.0000 0.2528 0.2528  4 O 1.76-1.79
Al: 0.0000 0.7472 0.7472  4 O 1.76-1.79
Al: 0.2528 0.0000 0.2528  4 O 1.76-1.79
Al: 0.7472 0.0000 0.7472  4 O 1.76-1.79
Si: 0.2500 0.7500 0.5000  4 O 1.65
Si: 0.7500 0.2500 0.5000  4 O 1.65
H: 0.1544 0.5224 0.0000  1 O 0.97
H: 0.4776 0.4776 0.6320  1 O 0.97
H: 0.5224 0.1544 0.0000  1 O 0.97
H: 0.8456 0.8456 0.3680  1 O 0.97
O: 0.0667 0.5142 0.2917  1 Si 1.65, 1 Al 1.79
O: 0.0688 0.7743 0.0000  2 Al 1.76
O: 0.2225 0.7751 0.7083  1 Si 1.65, 1 Al 1.79
O: 0.2249 0.9333 0.4475  1 Si 1.65, 1 Al 1.79
O: 0.2257 0.2257 0.2945  2 Al 1.76
O: 0.2695 0.4978 0.0000  1 H 0.97
O: 0.4858 0.7775 0.5525  1 Si 1.65, 1 Al 1.79
O: 0.4978 0.2695 0.0000  1 H 0.97
O: 0.5022 0.5022 0.7717  1 H 0.97
O: 0.5142 0.0667 0.2917  1 Si 1.65, 1 Al 1.79
O: 0.7305 0.7305 0.2283  1 H 0.97
O: 0.7743 0.0688 0.0000  2 Al 1.76
O: 0.7751 0.2225 0.7083  1 Si 1.65, 1 Al 1.79
O: 0.7775 0.4858 0.5525  1 Si 1.65, 1 Al 1.79
O: 0.9312 0.9312 0.7055  2 Al 1.76
O: 0.9333 0.2249 0.4475  1 Si 1.65, 1 Al 1.79

Results
D(E_F), states/eV per cell: 0.0
V, Å³/cell: 354.2
Magnetization, μB/f.u.: 0.0
E_tot, eV/cell: -206.8
Crystal system: tetragonal


2.
Material: EuZn2Sn
Method: DFT, PBE
State: relaxed

Lattice parameters (Å, degrees): 4.5267 4.5267 4.4418 90.00 90.00 90.00
Last column: nearest neighbours and their distance in Å.
Positions (direct):
Eu: 0.0000 0.0000 0.0000  8 Zn 3.17, 4 Sn 3.20
Zn: 0.0000 0.5000 0.5000  4 Sn 3.17, 4 Eu 3.17, 4 Zn 3.20
Zn: 0.5000 0.0000 0.5000  4 Sn 3.17, 4 Eu 3.17, 4 Zn 3.20
Sn: 0.5000 0.5000 0.0000  8 Zn 3.17, 4 Eu 3.20

Results
D(E_F), states/eV per cell: 6.6
V, Å³/cell: 91.0
Magnetization, μB/f.u.: 7.1
E above lowest polymorph, eV per atom: 0.030
Crystal system: tetragonal


3.
Material: ZrIr3
Method: DFT, PBE
State: relaxed

Lattice parameters (Å, degrees): 4.5515 5.6752 4.9586 90.00 90.00 90.00
Last column: nearest neighbours and their distance in Å.
Positions (direct):
Zr: 0.2500 0.2500 0.1585  12 Ir 2.84-2.86
Zr: 0.7500 0.7500 0.8415  12 Ir 2.84-2.86
Ir: 0.2500 0.0043 0.6597  8 Ir 2.73-3.01, 4 Zr 2.84-2.85
Ir: 0.2500 0.4957 0.6597  8 Ir 2.73-3.01, 4 Zr 2.84-2.85
Ir: 0.2500 0.7500 0.1920  8 Ir 2.73-3.01, 4 Zr 2.84-2.86
Ir: 0.7500 0.2500 0.8080  8 Ir 2.73-3.01, 4 Zr 2.84-2.86
Ir: 0.7500 0.5043 0.3403  8 Ir 2.73-3.01, 4 Zr 2.84-2.85
Ir: 0.7500 0.9957 0.3403  8 Ir 2.73-3.01, 4 Zr 2.84-2.85

Results
D(E_F), states/eV per cell: 5.6
V, Å³/cell: 128.1
Magnetization, μB/f.u.: 0.0
E_tot, eV/cell: -74.8
Crystal system: orthorhombic


4.
Material: NaMgP2S
Method: DFT, PBE
State: relaxed

Lattice parameters (Å, degrees): 4.8418 4.8418 4.8997 90.00 90.00 90.00
Last column: nearest neighbours and their distance in Å.
Positions (direct):
Na: 0.0000 0.0000 0.0000  4 P 2.42, 2 S 2.45
Mg: 0.5000 0.5000 0.5000  4 S 3.42, 8 P 3.44
P: 0.0000 0.5000 0.0000  2 Na 2.42
P: 0.5000 0.0000 0.0000  2 Na 2.42
S: 0.0000 0.0000 0.5000  2 Na 2.45

Results
D(E_F), states/eV per cell: 5.1
V, Å³/cell: 114.9
Magnetization, μB/f.u.: 0.6
E above lowest polymorph, eV per atom: 0.621
Energy relative to the elements, uncorrected, eV per atom: 0.95
Crystal system: tetragonal


5.
Material: La12Hg6Pt
Method: DFT, PBE
State: relaxed

Lattice parameters (Å, degrees): 8.6072 8.6072 8.6072 94.02 94.02 94.02
Last column: nearest neighbours and their distance in Å.
Positions (direct):
La: 0.0285 0.6738 0.9150  1 Pt 2.88
La: 0.0850 0.9715 0.3262  1 Pt 2.88
La: 0.1949 0.5397 0.4291  4 Hg 3.22-3.42
La: 0.3262 0.0850 0.9715  1 Pt 2.88
La: 0.4291 0.1949 0.5397  4 Hg 3.22-3.42
La: 0.4603 0.5709 0.8051  4 Hg 3.22-3.42
La: 0.5397 0.4291 0.1949  4 Hg 3.22-3.42
La: 0.5709 0.8051 0.4603  4 Hg 3.22-3.42
La: 0.6738 0.9150 0.0285  1 Pt 2.88
La: 0.8051 0.4603 0.5709  4 Hg 3.22-3.42
La: 0.9150 0.0285 0.6738  1 Pt 2.88
La: 0.9715 0.3262 0.0850  1 Pt 2.88
Hg: 0.1462 0.3430 0.7378  8 La 3.22-3.47
Hg: 0.2622 0.8538 0.6570  8 La 3.22-3.47
Hg: 0.3430 0.7378 0.1462  8 La 3.22-3.47
Hg: 0.6570 0.2622 0.8538  8 La 3.22-3.47
Hg: 0.7378 0.1462 0.3430  8 La 3.22-3.47
Hg: 0.8538 0.6570 0.2622  8 La 3.22-3.47
Pt: 0.0000 0.0000 0.0000  6 La 2.88

Results
D(E_F), states/eV per cell: 30.0
V, Å³/cell: 632.7
Magnetization, μB/f.u.: 0.0
E_tot, eV/cell: -73.4
Crystal system: trigonal


6.
Material: Cr2FeRh6
Method: DFT, PBE
State: relaxed

Lattice parameters (Å, degrees): 7.2205 7.2205 7.2205 158.74 113.79 70.41
Last column: nearest neighbours and their distance in Å.
Positions (direct):
Cr: 0.1573 0.1573 0.0000  10 Rh 2.66-2.68, 2 Cr 2.66
Cr: 0.8427 0.8427 0.0000  10 Rh 2.66-2.68, 2 Cr 2.66
Fe: 0.5000 0.0000 0.5000  4 Rh 2.47, 2 Fe 2.66
Rh: 0.1582 0.8215 0.3367  1 Fe 2.47, 5 Rh 2.55-2.66, 3 Cr 2.67-2.68
Rh: 0.1720 0.5000 0.6720  4 Cr 2.66, 7 Rh 2.66-2.81, 2 Fe 2.91
Rh: 0.4848 0.8215 0.6633  1 Fe 2.47, 5 Rh 2.55-2.66, 3 Cr 2.67-2.68
Rh: 0.5152 0.1785 0.3367  1 Fe 2.47, 5 Rh 2.55-2.66, 3 Cr 2.67-2.68
Rh: 0.8280 0.5000 0.3280  4 Cr 2.66, 7 Rh 2.66-2.81, 2 Fe 2.91
Rh: 0.8418 0.1785 0.6633  1 Fe 2.47, 5 Rh 2.55-2.66, 3 Cr 2.67-2.68

Results
D(E_F), states/eV per cell: 12.2
V, Å³/cell: 124.0
Magnetization, μB/f.u.: 1.6
E_tot, eV/cell: -71.1
Crystal system: orthorhombic


7.
Material: Na4Ho3SbSe8
Method: DFT, PBE
State: relaxed

Lattice parameters (Å, degrees): 8.4810 8.4810 8.4810 58.52 58.52 58.52
Last column: nearest neighbours and their distance in Å.
Positions (direct):
Na: 0.0000 0.0000 0.0000  6 Se 3.04
Na: 0.0000 0.5000 0.5000  6 Se 3.06
Na: 0.5000 0.0000 0.5000  6 Se 3.06
Na: 0.5000 0.5000 0.0000  6 Se 3.06
Ho: 0.0000 0.0000 0.5000  6 Se 2.87-2.88
Ho: 0.0000 0.5000 0.0000  6 Se 2.87-2.88
Ho: 0.5000 0.0000 0.0000  6 Se 2.87-2.88
Sb: 0.5000 0.5000 0.5000  6 Se 2.89
Se: 0.2411 0.7438 0.7438  2 Ho 2.87, 1 Sb 2.89, 3 Na 3.04-3.06
Se: 0.2426 0.2426 0.2426  3 Ho 2.88, 3 Na 3.06
Se: 0.2562 0.2562 0.7589  2 Ho 2.87, 1 Sb 2.89, 3 Na 3.04-3.06
Se: 0.2562 0.7589 0.2562  2 Ho 2.87, 1 Sb 2.89, 3 Na 3.04-3.06
Se: 0.7438 0.2411 0.7438  2 Ho 2.87, 1 Sb 2.89, 3 Na 3.04-3.06
Se: 0.7438 0.7438 0.2411  2 Ho 2.87, 1 Sb 2.89, 3 Na 3.04-3.06
Se: 0.7574 0.7574 0.7574  3 Ho 2.88, 3 Na 3.06
Se: 0.7589 0.2562 0.2562  2 Ho 2.87, 1 Sb 2.89, 3 Na 3.04-3.06

Results
D(E_F), states/eV per cell: 0.0
V, Å³/cell: 416.7
Magnetization, μB/f.u.: 0.0
Energy relative to the elements, uncorrected, eV per atom: -1.44
Crystal system: trigonal


8.
Material: SrLi4N2
Method: DFT, PBE
State: relaxed

Lattice parameters (Å, degrees): 6.7405 6.7405 3.5990 90.00 90.00 90.00
Last column: nearest neighbours and their distance in Å.
Positions (direct):
Sr: 0.0000 0.0000 0.0000  6 N 2.67-2.76, 12 Li 2.91-2.97
Sr: 0.5000 0.5000 0.5000  6 N 2.67-2.76, 12 Li 2.91-2.97
Li: 0.0941 0.3269 0.5000  3 N 2.22-2.24, 1 Li 2.22
Li: 0.1731 0.5941 0.0000  3 N 2.22-2.24, 1 Li 2.22
Li: 0.3269 0.0941 0.5000  3 N 2.22-2.24, 1 Li 2.22
Li: 0.4059 0.8269 0.0000  3 N 2.22-2.24, 1 Li 2.22
Li: 0.5941 0.1731 0.0000  3 N 2.22-2.24, 1 Li 2.22
Li: 0.6731 0.9059 0.5000  3 N 2.22-2.24, 1 Li 2.22
Li: 0.8269 0.4059 0.0000  3 N 2.22-2.24, 1 Li 2.22
Li: 0.9059 0.6731 0.5000  3 N 2.22-2.24, 1 Li 2.22
N: 0.2201 0.7799 0.5000  6 Li 2.22-2.24
N: 0.2799 0.2799 0.0000  6 Li 2.22-2.24
N: 0.7201 0.7201 0.0000  6 Li 2.22-2.24
N: 0.7799 0.2201 0.5000  6 Li 2.22-2.24

Results
V, Å³/cell: 163.5
Magnetization, μB/f.u.: 0.0
Energy relative to the elements, uncorrected, eV per atom: -0.32
Crystal system: tetragonal


9.
Material: DyHo2Zn4
Method: DFT, PBE
State: relaxed

Lattice parameters (Å, degrees): 5.1212 5.1212 12.4421 90.00 90.00 90.00
Last column: nearest neighbours and their distance in Å.
Positions (direct):
Dy: 0.0000 0.0000 0.0000  8 Zn 2.91
Dy: 0.5000 0.5000 0.5000  8 Zn 2.91
Ho: 0.0000 0.0000 0.2744  8 Zn 2.93-3.27
Ho: 0.0000 0.0000 0.7256  8 Zn 2.93-3.27
Ho: 0.5000 0.5000 0.2256  8 Zn 2.93-3.27
Ho: 0.5000 0.5000 0.7744  8 Zn 2.93-3.27
Zn: 0.0000 0.5000 0.1111  1 Zn 2.76, 2 Dy 2.91, 2 Ho 2.93
Zn: 0.0000 0.5000 0.3889  1 Zn 2.76, 2 Dy 2.91, 2 Ho 2.93
Zn: 0.0000 0.5000 0.6111  1 Zn 2.76, 2 Dy 2.91, 2 Ho 2.93
Zn: 0.0000 0.5000 0.8889  1 Zn 2.76, 2 Dy 2.91, 2 Ho 2.93
Zn: 0.5000 0.0000 0.1111  1 Zn 2.76, 2 Dy 2.91, 2 Ho 2.93
Zn: 0.5000 0.0000 0.3889  1 Zn 2.76, 2 Dy 2.91, 2 Ho 2.93
Zn: 0.5000 0.0000 0.6111  1 Zn 2.76, 2 Dy 2.91, 2 Ho 2.93
Zn: 0.5000 0.0000 0.8889  1 Zn 2.76, 2 Dy 2.91, 2 Ho 2.93

Results
D(E_F), states/eV per cell: 9.0
V, Å³/cell: 326.3
Magnetization, μB/f.u.: 0.0
E_tot, eV/cell: -39.9
Crystal system: tetragonal


Please write out number 7 again, unchanged.
Material: Na4Ho3SbSe8
Method: DFT, PBE
State: relaxed

Lattice parameters (Å, degrees): 8.4810 8.4810 8.4810 58.52 58.52 58.52
Last column: nearest neighbours and their distance in Å.
Positions (direct):
Na: 0.0000 0.0000 0.0000  6 Se 3.04
Na: 0.0000 0.5000 0.5000  6 Se 3.06
Na: 0.5000 0.0000 0.5000  6 Se 3.06
Na: 0.5000 0.5000 0.0000  6 Se 3.06
Ho: 0.0000 0.0000 0.5000  6 Se 2.87-2.88
Ho: 0.0000 0.5000 0.0000  6 Se 2.87-2.88
Ho: 0.5000 0.0000 0.0000  6 Se 2.87-2.88
Sb: 0.5000 0.5000 0.5000  6 Se 2.89
Se: 0.2411 0.7438 0.7438  2 Ho 2.87, 1 Sb 2.89, 3 Na 3.04-3.06
Se: 0.2426 0.2426 0.2426  3 Ho 2.88, 3 Na 3.06
Se: 0.2562 0.2562 0.7589  2 Ho 2.87, 1 Sb 2.89, 3 Na 3.04-3.06
Se: 0.2562 0.7589 0.2562  2 Ho 2.87, 1 Sb 2.89, 3 Na 3.04-3.06
Se: 0.7438 0.2411 0.7438  2 Ho 2.87, 1 Sb 2.89, 3 Na 3.04-3.06
Se: 0.7438 0.7438 0.2411  2 Ho 2.87, 1 Sb 2.89, 3 Na 3.04-3.06
Se: 0.7574 0.7574 0.7574  3 Ho 2.88, 3 Na 3.06
Se: 0.7589 0.2562 0.2562  2 Ho 2.87, 1 Sb 2.89, 3 Na 3.04-3.06

Results
D(E_F), states/eV per cell: 0.0
V, Å³/cell: 416.7
Magnetization, μB/f.u.: 0.0
Energy relative to the elements, uncorrected, eV per atom: -1.44
Crystal system: trigonal